Below is crystalline CeTiSb3 at its relaxed geometry, with properties calculated at the PBE level.

Cell: 5.5295 5.2688 8.6480 Å, 90.00 101.26 90.00°
Space group P2_1/m (No. 11)
Inequivalent atoms, fractional coordinates:
Ce 0.0999 0.2500 0.3057 x2
Ti 0.4258 0.2500 0.7495 x2
Sb 0.0302 0.7500 0.1095 x2
Sb 0.3232 0.7500 0.5136 x2
Sb 0.4707 0.7500 0.8930 x2

Formation energy without anion corrections (meV/atom): -482
Polymorph energy (0 for the lowest one) (meV per atom): 193
DOS(E_F) (states/eV per atom): 1.198
Energy (eV for the cell shown): -57.213
Crystal system: monoclinic
Total magnetic moment (μB/f.u.): 0.44

Below is crystalline CeTi2Sb2 at its relaxed geometry, with properties calculated at the PBE level.

Cell: 9.5805 11.2256 6.8706 Å, 90.00 134.05 90.00°
Space group C2/c (No. 15)
Inequivalent atoms, fractional coordinates:
Ce 0.0000 0.1247 0.2500 x4
Ti 0.1320 0.3754 0.0132 x8
Sb 0.0000 0.1540 0.7500 x4
Sb 0.0000 0.4032 0.2500 x4

Formation energy without anion corrections (meV/atom): -339
DOS(E_F) (states/eV per atom): 2.259
Energy (eV for the cell shown): -126.658
Crystal system: monoclinic
Total magnetic moment (μB/f.u.): 1.06

Below is crystalline Ce2TlSb at its relaxed geometry, with properties calculated at the PBE level.

Cell: 4.2118 4.2118 25.7956 Å, 90.00 90.00 120.00°
Space group R3m (No. 160, hexagonal axes)
Inequivalent atoms, fractional coordinates:
Ce 0.0000 0.0000 0.0000 x3
Ce 0.0000 0.0000 0.1816 x3
Tl 0.0000 0.0000 0.4237 x3
Sb 0.0000 0.0000 0.5915 x3

Formation energy without anion corrections (meV/atom): -447
Polymorph energy (0 for the lowest one) (meV per atom): 114
DOS(E_F) (states/eV per atom): 3.483
Energy (eV for the cell shown): -60.429
Crystal system: trigonal
Total magnetic moment (μB/f.u.): 2.10

Below is crystalline Ce4TlSb5 at its relaxed geometry, with properties calculated at the PBE level.

Cell: 4.3636 11.1409 12.4657 Å, 90.00 90.00 90.00°
Space group Immm (No. 71)
Inequivalent atoms, fractional coordinates:
Ce 0.0000 0.0000 0.2448 x4
Ce 0.0000 0.2928 0.5000 x4
Tl 0.0000 0.0000 0.5000 x2
Sb 0.0000 0.0000 0.0000 x2
Sb 0.0000 0.3213 0.1628 x8

Formation energy without anion corrections (meV/atom): -749
DOS(E_F) (states/eV per atom): 2.403
Energy (eV for the cell shown): -108.398
Crystal system: orthorhombic
Total magnetic moment (μB/f.u.): 3.20